Entry 1:
Crystalline NaZrTe2 at its relaxed geometry, computed with GGA-PBE.

The structure in CIF format:
```
data_NaZrTe2
_space_group_name_H-M_alt 'P 4/m m m'
_space_group_IT_number 123
_space_group_name_Hall '-P 4 2'
_cell_length_a 3.6400
_cell_length_b 3.6400
_cell_length_c 7.9038
_cell_angle_alpha 90.00
_cell_angle_beta 90.00
_cell_angle_gamma 90.00
loop_
_atom_site_label
_atom_site_type_symbol
_atom_site_fract_x
_atom_site_fract_y
_atom_site_fract_z
_atom_site_occupancy
Na1 Na 0.0000 0.0000 0.0000 1
Zr1 Zr 0.0000 0.0000 0.5000 1
Te1 Te 0.5000 0.5000 0.2819 1
```

## Properties
E_form (uncorrected) (eV per atom): -0.79
Crystal system: tetragonal

=====

Entry 2:
Crystalline PmDy12Er7 at its relaxed geometry, computed with GGA-PBE.

The structure in CIF format:
```
data_PmDy12Er7
_space_group_name_H-M_alt 'R -3'
_space_group_IT_number 148
_space_group_name_Hall '-R 3'
_cell_length_a 18.5229
_cell_length_b 18.5229
_cell_length_c 6.6523
_cell_angle_alpha 90.00
_cell_angle_beta 90.00
_cell_angle_gamma 120.00
loop_
_atom_site_label
_atom_site_type_symbol
_atom_site_fract_x
_atom_site_fract_y
_atom_site_fract_z
_atom_site_occupancy
Pm1 Pm 0.0000 0.0000 0.0000 1
Dy1 Dy 0.0004 0.2130 0.7898 1
Dy2 Dy 0.0077 0.5356 0.2381 1
Er1 Er 0.0000 0.0000 0.5000 1
Er2 Er 0.0105 0.1582 0.2892 1
```

## Properties
Crystal system: trigonal
E_form (eV per atom): 0.333

=====

Entry 3:
Crystalline Pa2ZnPb at its relaxed geometry, computed with GGA-PBE.

The structure in CIF format:
```
data_Pa2ZnPb
_space_group_name_H-M_alt 'R -3 m'
_space_group_IT_number 166
_space_group_name_Hall '-R 3 2"'
_cell_length_a 4.3047
_cell_length_b 4.3047
_cell_length_c 20.8289
_cell_angle_alpha 90.00
_cell_angle_beta 90.00
_cell_angle_gamma 120.00
loop_
_atom_site_label
_atom_site_type_symbol
_atom_site_fract_x
_atom_site_fract_y
_atom_site_fract_z
_atom_site_occupancy
Pa1 Pa 0.0000 0.0000 0.2383 1
Zn1 Zn 0.0000 0.0000 0.5000 1
Pb1 Pb 0.0000 0.0000 0.0000 1
```

## Properties
Crystal system: trigonal
E_form (eV per atom): 0.456

=====

Entry 4:
Crystalline Pm3TcGe5 at its relaxed geometry, computed with GGA-PBE.

The structure in CIF format:
```
data_Pm3TcGe5
_space_group_name_H-M_alt 'P 63/m c m'
_space_group_IT_number 193
_space_group_name_Hall '-P 6c 2'
_cell_length_a 8.7405
_cell_length_b 8.7405
_cell_length_c 5.8497
_cell_angle_alpha 90.00
_cell_angle_beta 90.00
_cell_angle_gamma 120.00
loop_
_atom_site_label
_atom_site_type_symbol
_atom_site_fract_x
_atom_site_fract_y
_atom_site_fract_z
_atom_site_occupancy
Pm1 Pm 0.0000 0.3828 0.2500 1
Tc1 Tc 0.0000 0.0000 0.0000 1
Ge1 Ge 0.0000 0.2483 0.7500 1
Ge2 Ge 0.3333 0.6667 0.0000 1
```

## Properties
Crystal system: hexagonal
E_form (eV per atom): -0.561

=====

Entry 5:
Crystalline NiPW2 at its relaxed geometry, computed with GGA-PBE.

The structure in CIF format:
```
data_NiPW2
_space_group_name_H-M_alt 'P m m m'
_space_group_IT_number 47
_space_group_name_Hall '-P 2 2'
_cell_length_a 3.3141
_cell_length_b 3.9593
_cell_length_c 4.2428
_cell_angle_alpha 90.00
_cell_angle_beta 90.00
_cell_angle_gamma 90.00
loop_
_atom_site_label
_atom_site_type_symbol
_atom_site_fract_x
_atom_site_fract_y
_atom_site_fract_z
_atom_site_occupancy
Ni1 Ni 0.0000 0.0000 0.0000 1
P1 P 0.5000 0.0000 0.5000 1
W1 W 0.0000 0.5000 0.5000 1
W2 W 0.5000 0.5000 0.0000 1
```

## Properties
Crystal system: orthorhombic
E_form (eV per atom): 0.247

=====

Entry 6:
Crystalline ThSc2Pa2 at its relaxed geometry, computed with GGA-PBE.

The structure in CIF format:
```
data_ThSc2Pa2
_space_group_name_H-M_alt 'C 1 2/m 1'
_space_group_IT_number 12
_space_group_name_Hall '-C 2y'
_cell_length_a 5.7613
_cell_length_b 3.3223
_cell_length_c 13.7341
_cell_angle_alpha 90.00
_cell_angle_beta 98.04
_cell_angle_gamma 90.00
loop_
_atom_site_label
_atom_site_type_symbol
_atom_site_fract_x
_atom_site_fract_y
_atom_site_fract_z
_atom_site_occupancy
Th1 Th 0.0000 0.0000 0.0000 1
Sc1 Sc 0.0978 0.5000 0.7898 1
Pa1 Pa 0.1342 0.0000 0.4010 1
```

## Properties
Crystal system: monoclinic
E_form (eV per atom): 0.050

=====

Q: What is the formula in the second record?
A: PmDy12Er7

=====

What did the sixth record say?
Crystalline ThSc2Pa2 at its relaxed geometry, computed with GGA-PBE.

The structure in CIF format:
```
data_ThSc2Pa2
_space_group_name_H-M_alt 'C 1 2/m 1'
_space_group_IT_number 12
_space_group_name_Hall '-C 2y'
_cell_length_a 5.7613
_cell_length_b 3.3223
_cell_length_c 13.7341
_cell_angle_alpha 90.00
_cell_angle_beta 98.04
_cell_angle_gamma 90.00
loop_
_atom_site_label
_atom_site_type_symbol
_atom_site_fract_x
_atom_site_fract_y
_atom_site_fract_z
_atom_site_occupancy
Th1 Th 0.0000 0.0000 0.0000 1
Sc1 Sc 0.0978 0.5000 0.7898 1
Pa1 Pa 0.1342 0.0000 0.4010 1
```

## Properties
Crystal system: monoclinic
E_form (eV per atom): 0.050